1.
Entry from the Alexandria database: crystalline Y2GeRh3 at its relaxed geometry (GGA-PBEsol).

Cell lengths 5.050, 5.050, 5.050 Å; angles 66.07, 66.07, 66.07 degrees
Fractional coordinates of all 6 atoms:
Y: 0.128 0.128 0.128
Y: 0.872 0.872 0.872
Ge: 0.500 0.500 0.500
Rh: 0.000 0.500 0.500
Rh: 0.500 0.000 0.500
Rh: 0.500 0.500 0.000

Summary:
The calculation puts the formation energy at -87 kJ/mol of atoms. The density of states at the Fermi level comes out at 3.278 states/eV per cell. For the magnetic moment, the calculation gives 0.0 μB/cell.

2.
Entry from the Alexandria database: crystalline Y2Ge2Rh at its relaxed geometry (GGA-PBEsol).

Cell lengths 6.642, 6.642, 4.385 Å; angles 90.00, 90.00, 90.00 degrees
Fractional coordinates of all 10 atoms:
Y: 0.174 0.326 0.000
Y: 0.326 0.826 0.000
Y: 0.674 0.174 0.000
Y: 0.826 0.674 0.000
Ge: 0.137 0.637 0.500
Ge: 0.363 0.137 0.500
Ge: 0.637 0.863 0.500
Ge: 0.863 0.363 0.500
Rh: 0.000 0.000 0.500
Rh: 0.500 0.500 0.500

Summary:
The calculation puts the formation energy at -93 kJ/mol of atoms. The density of states at the Fermi level comes out at 4.727 states/eV per cell. For the magnetic moment, the calculation gives 0.0 μB/cell.

3.
Entry from the Alexandria database: crystalline YGeRh at its relaxed geometry (GGA-PBEsol).

Cell lengths 6.851, 4.263, 7.461 Å; angles 90.00, 90.00, 90.00 degrees
Fractional coordinates of all 12 atoms:
Y: 0.002 0.250 0.194
Y: 0.498 0.750 0.694
Y: 0.502 0.250 0.306
Y: 0.998 0.750 0.806
Ge: 0.210 0.750 0.394
Ge: 0.290 0.250 0.894
Ge: 0.710 0.750 0.106
Ge: 0.790 0.250 0.606
Rh: 0.156 0.250 0.568
Rh: 0.344 0.750 0.068
Rh: 0.656 0.250 0.932
Rh: 0.844 0.750 0.432

Summary:
The calculation puts the formation energy at -99 kJ/mol of atoms. The density of states at the Fermi level comes out at 5.772 states/eV per cell. For the magnetic moment, the calculation gives 0.0 μB/cell.

4.
Entry from the Alexandria database: crystalline YGe3Rh at its relaxed geometry (GGA-PBEsol).

Cell lengths 4.747, 4.747, 4.747 Å; angles 90.00, 90.00, 90.00 degrees
Fractional coordinates of all 5 atoms:
Y: 0.000 0.000 0.000
Ge: 0.000 0.500 0.500
Ge: 0.500 0.000 0.500
Ge: 0.500 0.500 0.000
Rh: 0.500 0.500 0.500

Summary:
The calculation puts the formation energy at -7 kJ/mol of atoms. The density of states at the Fermi level comes out at 2.288 states/eV per cell. For the magnetic moment, the calculation gives 0.0 μB/cell.